This record from Alexandria describes an optimized crystal structure of Th2AlRh. The functional is PBE.

- Crystal system: tetragonal
- Space-group type: P4/mmm, No. 123
- Energy of formation: -45 kJ/mol of atoms
- Calculated volume: 96.81 Å³ per cell

Cell lengths 3.4837, 3.4837, 7.9769 Å; angles 90.00, 90.00, 90.00 degrees
With the nearest neighbours (Å) after each atom.
Fractional coordinates of all 4 atoms:
1 Al 0.5000 0.5000 0.5000  8 Th 3.28, 4 Al 3.48
2 Rh 0.5000 0.5000 0.0000  8 Th 3.06
3 Th 0.0000 0.0000 0.2283  4 Rh 3.06, 4 Al 3.28
4 Th 0.0000 0.0000 0.7717  4 Rh 3.06, 4 Al 3.28


This record from Alexandria describes an optimized crystal structure of ThAl9Rh2. The functional is PBE.

- Crystal system: tetragonal
- Space-group type: I4_1/amd, No. 141
- Energy of formation: -53 kJ/mol of atoms
- Calculated volume: 402.57 Å³ per cell

Cell lengths 7.0848, 8.3289, 8.3289 Å; angles 79.58, 64.83, 64.83 degrees
With the nearest neighbours (Å) after each atom.
Fractional coordinates of all 24 atoms:
1 Al 0.6087 0.3232 0.0798  2 Rh 2.59-2.63, 7 Al 2.59-2.89
2 Al 0.1413 0.1768 0.4202  2 Rh 2.59-2.63, 7 Al 2.59-2.89
3 Al 0.3115 0.0798 0.6768  2 Rh 2.59-2.63, 7 Al 2.59-2.89
4 Al 0.0117 0.6768 0.9202  2 Rh 2.59-2.63, 7 Al 2.59-2.89
5 Al 0.4385 0.8232 0.4202  2 Rh 2.59-2.63, 7 Al 2.59-2.89
6 Al 0.6819 0.1768 0.5798  2 Rh 2.59-2.63, 7 Al 2.59-2.89
7 Al 0.6819 0.5798 0.1768  2 Rh 2.59-2.63, 7 Al 2.59-2.89
8 Al 0.0681 0.3232 0.9202  2 Rh 2.59-2.63, 7 Al 2.59-2.89
9 Al 0.0681 0.9202 0.3232  2 Rh 2.59-2.63, 7 Al 2.59-2.89
10 Al 0.4385 0.4202 0.8232  2 Rh 2.59-2.63, 7 Al 2.59-2.89
11 Al 0.3115 0.6768 0.0798  2 Rh 2.59-2.63, 7 Al 2.59-2.89
12 Al 0.7383 0.5798 0.8232  2 Rh 2.59-2.63, 7 Al 2.59-2.89
13 Al 0.6087 0.0798 0.3232  2 Rh 2.59-2.63, 7 Al 2.59-2.89
14 Al 0.0117 0.9202 0.6768  2 Rh 2.59-2.63, 7 Al 2.59-2.89
15 Al 0.7500 0.5000 0.5000  4 Rh 2.81, 8 Al 2.85
16 Al 0.7383 0.8232 0.5798  2 Rh 2.59-2.63, 7 Al 2.59-2.89
17 Al 0.1413 0.4202 0.1768  2 Rh 2.59-2.63, 7 Al 2.59-2.89
18 Al 0.0000 0.0000 0.0000  4 Rh 2.81, 8 Al 2.85
19 Th 0.5000 0.0000 0.0000  18 Al 3.34-3.54
20 Th 0.2500 0.5000 0.5000  18 Al 3.34-3.54
21 Rh 0.8750 0.2500 0.7500  10 Al 2.59-2.81
22 Rh 0.8750 0.7500 0.2500  10 Al 2.59-2.81
23 Rh 0.3750 0.7500 0.7500  10 Al 2.59-2.81
24 Rh 0.8750 0.2500 0.2500  10 Al 2.59-2.81


This record from Alexandria describes an optimized crystal structure of Th2AlRh3. The functional is PBE.

- Crystal system: trigonal
- Space-group type: R-3m, No. 166
- Energy of formation: -86 kJ/mol of atoms
- Calculated volume: 114.77 Å³ per cell

Cell lengths 5.2181, 5.2181, 5.2181 Å; angles 66.62, 66.62, 66.62 degrees
With the nearest neighbours (Å) after each atom.
Fractional coordinates of all 6 atoms:
1 Al 0.0000 0.0000 0.0000  6 Rh 2.61
2 Rh 0.5000 0.0000 0.0000  2 Al 2.61, 4 Rh 2.87
3 Rh 0.0000 0.5000 0.0000  2 Al 2.61, 4 Rh 2.87
4 Rh 0.0000 0.0000 0.5000  2 Al 2.61, 4 Rh 2.87
5 Th 0.6301 0.6301 0.6301  9 Rh 2.96-3.27, 1 Th 3.15
6 Th 0.3699 0.3699 0.3699  9 Rh 2.96-3.27, 1 Th 3.15


This record from Alexandria describes an optimized crystal structure of ThAlRh5. The functional is PBE.

- Crystal system: tetragonal
- Space-group type: P4/mmm, No. 123
- Energy of formation: -48 kJ/mol of atoms
- Calculated volume: 118.03 Å³ per cell

Cell lengths 4.1670, 4.1670, 6.7976 Å; angles 90.00, 90.00, 90.00 degrees
With the nearest neighbours (Å) after each atom.
Fractional coordinates of all 7 atoms:
1 Rh 0.0000 0.5000 0.2050  2 Al 2.51, 1 Rh 2.79
2 Rh 0.5000 0.0000 0.2050  2 Al 2.51, 1 Rh 2.79
3 Rh 0.0000 0.5000 0.7950  2 Al 2.51, 1 Rh 2.79
4 Rh 0.5000 0.0000 0.7950  2 Al 2.51, 1 Rh 2.79
5 Rh 0.5000 0.5000 0.5000  8 Rh 2.89, 4 Th 2.95
6 Al 0.5000 0.5000 0.0000  8 Rh 2.51
7 Th 0.0000 0.0000 0.5000  12 Rh 2.89-2.95


This record from Alexandria describes an optimized crystal structure of ThAl3Rh. The functional is PBE.

- Crystal system: orthorhombic
- Space-group type: Pnma, No. 62
- Energy of formation: -69 kJ/mol of atoms
- Calculated volume: 389.84 Å³ per cell

Cell lengths 4.1935, 8.4557, 10.9939 Å; angles 90.00, 90.00, 90.00 degrees
With the nearest neighbours (Å) after each atom.
Fractional coordinates of all 20 atoms:
1 Th 0.7500 0.3160 0.4887  10 Al 3.14-3.51, 2 Rh 3.24
2 Th 0.2500 0.6840 0.5113  10 Al 3.14-3.51, 2 Rh 3.24
3 Th 0.2500 0.1840 0.9887  10 Al 3.14-3.51, 2 Rh 3.24
4 Th 0.7500 0.8160 0.0113  10 Al 3.14-3.51, 2 Rh 3.24
5 Al 0.2500 0.3865 0.7122  2 Rh 2.43-2.48
6 Al 0.2500 0.5558 0.0844  3 Rh 2.56-2.59, 1 Al 2.72
7 Al 0.7500 0.9442 0.5844  3 Rh 2.56-2.59, 1 Al 2.72
8 Al 0.7500 0.1135 0.2122  2 Rh 2.43-2.48
9 Al 0.7500 0.6135 0.2878  2 Rh 2.43-2.48
10 Al 0.2500 0.8865 0.7878  2 Rh 2.43-2.48
11 Al 0.2500 0.8565 0.2210  2 Rh 2.58, 1 Al 2.72
12 Al 0.7500 0.4442 0.9156  3 Rh 2.56-2.59, 1 Al 2.72
13 Al 0.2500 0.0558 0.4156  3 Rh 2.56-2.59, 1 Al 2.72
14 Al 0.7500 0.6435 0.7210  2 Rh 2.58, 1 Al 2.72
15 Al 0.2500 0.3565 0.2790  2 Rh 2.58, 1 Al 2.72
16 Al 0.7500 0.1435 0.7790  2 Rh 2.58, 1 Al 2.72
17 Rh 0.7500 0.3939 0.1456  7 Al 2.43-2.59
18 Rh 0.7500 0.8939 0.3544  7 Al 2.43-2.59
19 Rh 0.2500 0.6061 0.8544  7 Al 2.43-2.59
20 Rh 0.2500 0.1061 0.6456  7 Al 2.43-2.59


This record from Alexandria describes an optimized crystal structure of Th3Al2Rh3. The functional is PBE.

- Crystal system: hexagonal
- Space-group type: P6_3/mcm, No. 193
- Energy of formation: -78 kJ/mol of atoms
- Calculated volume: 340.97 Å³ per cell

Cell lengths 5.7684, 8.2616, 8.2616 Å; angles 120.00, 90.00, 90.00 degrees
With the nearest neighbours (Å) after each atom.
Fractional coordinates of all 16 atoms:
1 Al 0.0000 0.3333 0.6667  2 Al 2.88, 6 Rh 2.91
2 Al 0.0000 0.6667 0.3333  2 Al 2.88, 6 Rh 2.91
3 Al 0.5000 0.6667 0.3333  2 Al 2.88, 6 Rh 2.91
4 Al 0.5000 0.3333 0.6667  2 Al 2.88, 6 Rh 2.91
5 Th 0.2500 0.7305 0.0000  5 Rh 2.76-3.07
6 Th 0.7500 0.7305 0.7305  5 Rh 2.76-3.07
7 Th 0.2500 0.2695 0.2695  5 Rh 2.76-3.07
8 Th 0.7500 0.2695 0.0000  5 Rh 2.76-3.07
9 Th 0.2500 0.0000 0.7305  5 Rh 2.76-3.07
10 Th 0.7500 0.0000 0.2695  5 Rh 2.76-3.07
11 Rh 0.2500 0.6033 0.6033  5 Th 2.76-3.07, 4 Al 2.91
12 Rh 0.2500 0.0000 0.3967  5 Th 2.76-3.07, 4 Al 2.91
13 Rh 0.7500 0.6033 0.0000  5 Th 2.76-3.07, 4 Al 2.91
14 Rh 0.7500 0.0000 0.6033  5 Th 2.76-3.07, 4 Al 2.91
15 Rh 0.2500 0.3967 0.0000  5 Th 2.76-3.07, 4 Al 2.91
16 Rh 0.7500 0.3967 0.3967  5 Th 2.76-3.07, 4 Al 2.91


Number 1: final energy -6.95 eV/atom. Number 2: final energy -5.20 eV/atom. Number 3: final energy -7.67 eV/atom. Number 4: final energy -7.35 eV/atom. Number 5: final energy -5.92 eV/atom. Number 6: final energy -7.29 eV/atom.